# Tm4SnPSe2 | Alexandria | GGA-PBE | optimized geometry
data_Tm4SnPSe2
_chemical_formula_sum 'Tm4 Sn1 P1 Se2'
_cell_length_a 4.0836
_cell_length_b 7.0986
_cell_length_c 7.1294
_cell_angle_alpha 70.65
_cell_angle_beta 90.00
_cell_angle_gamma 90.00
_space_group_name_H-M_alt 'P 1'
_space_group_IT_number 1
loop_
_space_group_symop_operation_xyz
'x,y,z'
loop_
_atom_site_label
_atom_site_type_symbol
_atom_site_fract_x
_atom_site_fract_y
_atom_site_fract_z
P1 P 0.0000 0.5000 0.5000
Tm1 Tm 0.0000 0.7461 0.7391
Tm2 Tm 0.5000 0.2644 0.7345
Tm3 Tm 0.0000 0.2539 0.2609
Tm4 Tm 0.5000 0.7356 0.2655
Se1 Se 0.5000 0.0000 0.5000
Se2 Se 0.0000 0.0000 0.0000
Sn1 Sn 0.5000 0.5000 0.0000
# - E_form (uncorrected): -1.42 eV/atom
# - Crystal system: monoclinic
# - Space-group type: P2/m (10)

# Y4SnPSe2 | Alexandria | GGA-PBE | optimized geometry
data_Y4SnPSe2
_chemical_formula_sum 'Y4 Sn1 P1 Se2'
_cell_length_a 4.1484
_cell_length_b 7.2121
_cell_length_c 7.2318
_cell_angle_alpha 70.66
_cell_angle_beta 90.00
_cell_angle_gamma 90.00
_space_group_name_H-M_alt 'P 1'
_space_group_IT_number 1
loop_
_space_group_symop_operation_xyz
'x,y,z'
loop_
_atom_site_label
_atom_site_type_symbol
_atom_site_fract_x
_atom_site_fract_y
_atom_site_fract_z
Y1 Y 0.0000 0.2529 0.2608
Y2 Y 0.5000 0.2635 0.7349
Y3 Y 0.5000 0.7365 0.2651
Y4 Y 0.0000 0.7471 0.7392
Sn1 Sn 0.5000 0.5000 0.0000
Se1 Se 0.5000 0.0000 0.5000
Se2 Se 0.0000 0.0000 0.0000
P1 P 0.0000 0.5000 0.5000
# - E_form (uncorrected): -1.50 eV/atom
# - Crystal system: monoclinic
# - Space-group type: P2/m (10)

# Y6SnP2Se3 | Alexandria | GGA-PBE | optimized geometry
data_Y6SnP2Se3
_chemical_formula_sum 'Y6 Sn1 P2 Se3'
_cell_length_a 4.0980
_cell_length_b 8.3191
_cell_length_c 9.2373
_cell_angle_alpha 103.13
_cell_angle_beta 102.82
_cell_angle_gamma 90.00
_space_group_name_H-M_alt 'P 1'
_space_group_IT_number 1
loop_
_space_group_symop_operation_xyz
'x,y,z'
loop_
_atom_site_label
_atom_site_type_symbol
_atom_site_fract_x
_atom_site_fract_y
_atom_site_fract_z
P1 P 0.1682 0.3370 0.3365
P2 P 0.8318 0.6630 0.6635
Sn1 Sn 0.5000 0.0000 0.0000
Y1 Y 0.3297 0.8963 0.6594
Y2 Y 0.6703 0.1037 0.3406
Y3 Y 0.6730 0.5722 0.3459
Y4 Y 0.9937 0.7397 0.9875
Y5 Y 0.3270 0.4278 0.6541
Y6 Y 0.0063 0.2603 0.0125
Se1 Se 0.5000 0.5000 0.0000
Se2 Se 0.8348 0.1681 0.6695
Se3 Se 0.1652 0.8319 0.3305
# - E_form (uncorrected): -1.59 eV/atom
# - Crystal system: monoclinic
# - Space-group type: C2/m (12)

Density for the records above, in order: 8.374 5.395 5.288 g/cm3